#1
Material: FeSi2As
Method: DFT, PBE
State: optimized geometry

Structure (POSCAR):
```
FeSi2As
1.0
-2.015 2.015 3.393
2.015 -2.015 3.393
2.015 2.015 -3.393
Fe Si As
1 2 1
Direct
0.000 0.000 0.000 Fe
0.250 0.750 0.500 Si
0.500 0.500 0.000 Si
0.750 0.250 0.500 As
```



#2
Material: FeSi2As
Method: DFT, PBE
State: optimized geometry

Structure (POSCAR):
```
FeSi2As
1.0
2.544 -3.579 0.000
2.544 3.579 0.000
0.000 0.000 3.076
Fe Si As
1 2 1
Direct
0.000 0.000 0.000 Fe
0.000 0.500 0.500 Si
0.500 0.000 0.500 Si
0.500 0.500 0.000 As
```



Calculated relative energies: #1 32; #2 0, given in meV per atom



#1
Material: FeSi2As
Method: DFT, PBE
State: optimized geometry

Structure (POSCAR):
```
FeSi2As
1.0
-2.731 2.731 5.207
2.731 -2.731 5.207
2.731 2.731 -5.207
Fe Si As
2 4 2
Direct
0.000 0.000 0.000 Fe
0.750 0.250 0.500 Fe
0.090 0.625 0.965 Si
0.375 0.340 0.465 Si
0.660 0.125 0.035 Si
0.875 0.910 0.535 Si
0.250 0.750 0.500 As
0.500 0.500 0.000 As
```



#2
Material: FeSi2As
Method: DFT, PBE
State: optimized geometry

Structure (POSCAR):
```
FeSi2As
1.0
3.745 -1.484 0.000
3.745 1.484 0.000
-1.477 0.000 5.263
Fe Si As
1 2 1
Direct
0.000 0.000 0.000 Fe
0.259 0.259 0.820 Si
0.741 0.741 0.180 Si
0.500 0.500 0.500 As
```



Calculated relative energies: #1 171; #2 0, given in meV per atom



#1
Material: FeSi2As
Method: DFT, PBE
State: optimized geometry

Structure (POSCAR):
```
FeSi2As
1.0
-1.694 2.242 3.675
1.694 -2.242 3.675
1.694 2.242 -3.675
Fe Si As
1 2 1
Direct
0.000 0.000 0.000 Fe
0.227 0.727 0.500 Si
0.471 0.471 0.000 Si
0.725 0.225 0.500 As
```



#2
Material: FeSi2As
Method: DFT, PBE
State: optimized geometry

Structure (POSCAR):
```
FeSi2As
1.0
2.765 0.000 0.000
0.000 2.765 0.000
0.000 0.000 7.194
Fe Si As
1 2 1
Direct
0.000 0.000 0.000 Fe
0.500 0.500 0.195 Si
0.500 0.500 0.805 Si
0.000 0.000 0.500 As
```



#3
Material: FeSi2As
Method: DFT, PBE
State: optimized geometry

Structure (POSCAR):
```
FeSi2As
1.0
3.249 0.000 0.000
0.000 3.942 0.000
0.000 0.000 4.546
Fe Si As
1 2 1
Direct
0.000 0.000 0.000 Fe
0.000 0.500 0.500 Si
0.500 0.000 0.500 Si
0.500 0.500 0.000 As
```



Calculated relative energies: #1 304; #2 0; #3 362, given in meV per atom